# 1
# PBE SrMnAl2, optimized geometry
data_SrMnAl2
_cell_length_a 3.3207
_cell_length_b 3.3207
_cell_length_c 7.7357
_cell_angle_alpha 90.00
_cell_angle_beta 90.00
_cell_angle_gamma 90.00
_space_group_name_H-M_alt 'P 1'
_space_group_IT_number 1
loop_
_space_group_symop_operation_xyz
'x,y,z'
loop_
_atom_site_label
_atom_site_fract_x
_atom_site_fract_y
_atom_site_fract_z
_atom_site_occupancy
Sr1 0.5000 0.5000 0.7430 1
Mn1 0.0000 0.0000 0.4231 1
Al1 0.0000 0.0000 0.0649 1
Al2 0.5000 0.5000 0.2691 1
# Formation energy from the elements   0.7 eV/f.u.
# Space-group type   No. 99
# E_tot   -4.4162 eV per atom
# Density of states at the Fermi level   3.516 states/eV/f.u.



# 2
# PBE Ba2LiTc, optimized geometry
data_Ba2LiTc
_cell_length_a 4.4039
_cell_length_b 4.4039
_cell_length_c 10.2119
_cell_angle_alpha 84.83
_cell_angle_beta 84.83
_cell_angle_gamma 48.20
_space_group_name_H-M_alt 'P 1'
_space_group_IT_number 1
loop_
_space_group_symop_operation_xyz
'x,y,z'
loop_
_atom_site_label
_atom_site_fract_x
_atom_site_fract_y
_atom_site_fract_z
_atom_site_occupancy
Ba1 0.0157 0.0157 0.9534 1
Ba2 0.4843 0.4843 0.5466 1
Li1 0.2500 0.2500 0.2500 1
Tc1 0.7500 0.7500 0.7500 1
# Formation energy from the elements   3.1 eV/f.u.
# Space-group type   No. 12
# E_tot   -3.2458 eV per atom
# Density of states at the Fermi level   3.985 states/eV/f.u.
# Excess energy over the best structure of this formula in the dataset   141.8 meV/atom